Entry 1:
{
  "formula": "Ca2NdZn4",
  "functional": "GGA-PBE",
  "state": "optimized geometry",
  "cell": [[-1.945, 2.256, 9.775], [1.945, -2.256, 9.775], [1.945, 2.256, -9.775]],
  "species": ["Ca", "Ca", "Nd", "Zn", "Zn", "Zn", "Zn"],
  "frac_coords": [[0.189, 0.189, 0.000], [0.811, 0.811, 0.000], [0.500, 0.000, 0.500], [0.065, 0.565, 0.500], [0.365, 0.365, 0.000], [0.635, 0.635, 0.000], [0.935, 0.435, 0.500]],
  "space_group": "Immm",
  "dft_energy_ev_per_cell": -15.82,
  "delta_e_f_mev_per_atom": -279,
  "dos_at_fermi_per_ev_atom": 0.86
}



Entry 2:
{
  "formula": "AcYI6",
  "functional": "GGA-PBE",
  "state": "optimized geometry",
  "cell": [[3.926, 2.267, 7.159], [-3.926, 2.267, 7.159], [0.000, -4.534, 7.159]],
  "species": ["Ac", "Y", "I", "I", "I", "I", "I", "I"],
  "frac_coords": [[0.000, 0.000, 0.000], [0.500, 0.500, 0.500], [0.096, 0.427, 0.736], [0.264, 0.904, 0.573], [0.427, 0.736, 0.096], [0.573, 0.264, 0.904], [0.736, 0.096, 0.427], [0.904, 0.573, 0.264]],
  "space_group": "R-3",
  "dft_energy_ev_per_cell": -31.20,
  "dos_at_fermi_per_ev_atom": 0.00
}



Entry 3:
{
  "formula": "Zn2TcAg",
  "functional": "GGA-PBE",
  "state": "optimized geometry",
  "cell": [[-1.405, 2.433, 4.525], [1.405, -2.433, 4.525], [1.405, 2.433, -4.525]],
  "species": ["Zn", "Zn", "Tc", "Ag"],
  "frac_coords": [[0.249, 0.249, 0.000], [0.751, 0.751, 0.000], [0.000, 0.500, 0.500], [0.500, 0.000, 0.500]],
  "space_group": "Immm",
  "e_above_lowest_polymorph_mev_per_atom": 207,
  "dft_energy_ev_per_cell": -14.68,
  "delta_e_f_mev_per_atom": 272,
  "dos_at_fermi_per_ev_atom": 0.54
}



Entry 4:
{
  "formula": "CsNaBiSe3",
  "functional": "GGA-PBE",
  "state": "optimized geometry",
  "cell": [[8.565, 0.000, 0.000], [0.000, 5.466, 0.000], [-1.200, 0.000, 8.926]],
  "species": ["Cs", "Cs", "Na", "Na", "Bi", "Bi", "Se", "Se", "Se", "Se", "Se", "Se"],
  "frac_coords": [[0.199, 0.250, 0.193], [0.801, 0.750, 0.807], [0.156, 0.750, 0.589], [0.844, 0.250, 0.411], [0.375, 0.250, 0.800], [0.625, 0.750, 0.200], [0.062, 0.250, 0.695], [0.371, 0.750, 0.896], [0.485, 0.750, 0.470], [0.515, 0.250, 0.530], [0.629, 0.250, 0.104], [0.938, 0.750, 0.305]],
  "space_group": "P2_1/m",
  "dft_energy_ev_per_cell": -41.80,
  "dos_at_fermi_per_ev_atom": 0.16
}



Entry 5:
{
  "formula": "Sr3In5Br12",
  "functional": "GGA-PBE",
  "state": "optimized geometry",
  "cell": [[13.393, 0.000, 0.000], [-6.696, 11.598, 0.000], [0.000, 0.000, 4.593]],
  "species": ["Sr", "Sr", "Sr", "In", "In", "In", "In", "In", "Br", "Br", "Br", "Br", "Br", "Br", "Br", "Br", "Br", "Br", "Br", "Br"],
  "frac_coords": [[0.000, 0.679, 0.000], [0.321, 0.321, 0.000], [0.679, 0.000, 0.000], [0.000, 0.297, 0.500], [0.297, 0.000, 0.500], [0.333, 0.667, 0.500], [0.667, 0.333, 0.500], [0.703, 0.703, 0.500], [0.000, 0.531, 0.500], [0.000, 0.829, 0.500], [0.171, 0.171, 0.500], [0.189, 0.454, 0.000], [0.264, 0.811, 0.000], [0.454, 0.189, 0.000], [0.469, 0.469, 0.500], [0.531, 0.000, 0.500], [0.546, 0.736, 0.000], [0.736, 0.546, 0.000], [0.811, 0.264, 0.000], [0.829, 0.000, 0.500]],
  "space_group": "P-62m",
  "e_above_lowest_polymorph_mev_per_atom": 0,
  "dft_energy_ev_per_cell": -64.57,
  "dos_at_fermi_per_ev_atom": 0.52
}



Entry 6:
{
  "formula": "K2Li3ZrH12",
  "functional": "GGA-PBE",
  "state": "optimized geometry",
  "cell": [[3.339, 1.928, 4.873], [-3.339, 1.928, 4.873], [0.000, -3.855, 4.873]],
  "species": ["K", "K", "Li", "Li", "Li", "Zr", "H", "H", "H", "H", "H", "H", "H", "H", "H", "H", "H", "H"],
  "frac_coords": [[0.107, 0.107, 0.107], [0.893, 0.893, 0.893], [0.000, 0.500, 0.500], [0.500, 0.000, 0.500], [0.500, 0.500, 0.000], [0.500, 0.500, 0.500], [0.130, 0.625, 0.625], [0.270, 0.270, 0.620], [0.270, 0.620, 0.270], [0.375, 0.375, 0.870], [0.375, 0.870, 0.375], [0.380, 0.730, 0.730], [0.620, 0.270, 0.270], [0.625, 0.130, 0.625], [0.625, 0.625, 0.130], [0.730, 0.380, 0.730], [0.730, 0.730, 0.380], [0.870, 0.375, 0.375]],
  "space_group": "R-3m",
  "dft_energy_ev_per_cell": -57.14,
  "dos_at_fermi_per_ev_atom": 0.27
}



Entry 7:
{
  "formula": "CsZnCdF6",
  "functional": "GGA-PBE",
  "state": "optimized geometry",
  "cell": [[-3.854, 3.921, 5.356], [3.854, -3.921, 5.356], [3.854, 3.921, -5.356]],
  "species": ["Cs", "Cs", "Zn", "Zn", "Cd", "Cd", "F", "F", "F", "F", "F", "F", "F", "F", "F", "F", "F", "F"],
  "frac_coords": [[0.355, 0.105, 0.250], [0.645, 0.895, 0.750], [0.000, 0.000, 0.500], [0.000, 0.500, 0.000], [0.000, 0.500, 0.500], [0.500, 0.500, 0.000], [0.040, 0.790, 0.250], [0.051, 0.399, 0.207], [0.051, 0.844, 0.653], [0.309, 0.156, 0.707], [0.309, 0.601, 0.153], [0.345, 0.595, 0.750], [0.655, 0.405, 0.250], [0.691, 0.399, 0.847], [0.691, 0.844, 0.293], [0.949, 0.156, 0.347], [0.949, 0.601, 0.793], [0.960, 0.210, 0.750]],
  "space_group": "Imma",
  "dft_energy_ev_per_cell": -67.62,
  "dos_at_fermi_per_ev_atom": 0.52
}



Entry 8:
{
  "formula": "LiSmGaPt",
  "functional": "GGA-PBE",
  "state": "optimized geometry",
  "cell": [[3.891, -2.251, 0.000], [3.891, 2.251, 0.000], [-2.602, 0.000, 4.504]],
  "species": ["Li", "Sm", "Ga", "Pt"],
  "frac_coords": [[0.000, 0.000, 0.000], [0.790, 0.790, 0.371], [0.267, 0.267, 0.801], [0.574, 0.574, 0.722]],
  "space_group": "Cm",
  "dft_energy_ev_per_cell": -18.69,
  "delta_e_f_mev_per_atom": -749,
  "dos_at_fermi_per_ev_atom": 0.81
}



Which formula does entry 5 have?
Sr3In5Br12